[1]
## CrPt3 (PBE)

Data for CrPt3 after structural relaxation.

a b c (Å): 2.7730 2.7730 8.8716
angles (deg): 90.00 90.00 120.00
Closest atoms and distances in Å follow each position.
Space group P-6m2 (No. 187)
One atom of each set of equivalent atoms:
Cr 0.0000 0.0000 0.0000  6 Pt 2.57, 6 Cr 2.77
Pt 0.0000 0.0000 0.5000  12 Pt 2.77-2.90
Pt 0.3333 0.6667 0.2270  3 Cr 2.57, 6 Pt 2.77

Output
The calculation puts the formation energy at -0.120 eV/atom.

=====

[2]
## Pu2CrPt9 (PBE)

Data for Pu2CrPt9 after structural relaxation.

a b c (Å): 4.0798 4.0798 12.2526
angles (deg): 90.00 90.00 90.00
Closest atoms and distances in Å follow each position.
Space group P4/mmm (No. 123)
One atom of each set of equivalent atoms:
Pu 0.0000 0.0000 0.1736  12 Pt 2.88-2.95
Cr 0.0000 0.0000 0.5000  12 Pt 2.78-2.88
Pt 0.0000 0.5000 0.0000  8 Pt 2.88-2.94, 4 Pu 2.95
Pt 0.0000 0.5000 0.3457  2 Cr 2.78, 8 Pt 2.78-2.94, 2 Pu 2.93
Pt 0.5000 0.5000 0.1731  4 Pu 2.88, 8 Pt 2.94
Pt 0.5000 0.5000 0.5000  8 Pt 2.78, 4 Cr 2.88

Output
The calculation puts the formation energy at -0.531 eV/atom.

=====

[3]
## Pu2CrSi4Pt3 (PBE)

Data for Pu2CrSi4Pt3 after structural relaxation.

a b c (Å): 4.1414 4.1414 10.1316
angles (deg): 90.00 90.00 90.00
Closest atoms and distances in Å follow each position.
Space group P-4m2 (No. 115)
One atom of each set of equivalent atoms:
Pu 0.0000 0.5000 0.2492  8 Si 3.16-3.27, 6 Pt 3.19-3.28, 2 Cr 3.28
Cr 0.0000 0.0000 0.5000  4 Si 2.48
Si 0.0000 0.0000 0.0000  4 Pt 2.43
Si 0.0000 0.5000 0.6342  3 Pt 2.44-2.48, 2 Cr 2.48
Si 0.5000 0.5000 0.0000  4 Pt 2.43
Pt 0.0000 0.5000 0.8754  5 Si 2.43-2.44
Pt 0.5000 0.5000 0.5000  4 Si 2.48

Output
For the formation energy (no corrections), the calculation gives -761 meV per atom.

=====

[4]
## RbCr3Pt (PBE)

Data for RbCr3Pt after structural relaxation.

a b c (Å): 4.3402 4.3402 4.3402
angles (deg): 90.00 90.00 90.00
Closest atoms and distances in Å follow each position.
Space group Pm-3m (No. 221)
One atom of each set of equivalent atoms:
Rb 0.0000 0.0000 0.0000  6 Cr 2.17
Cr 0.0000 0.0000 0.5000  2 Rb 2.17
Pt 0.5000 0.5000 0.5000  12 Cr 3.07

Output
The calculation puts the formation energy at 2.858 eV/atom. Its energy above the most stable polymorph in this dataset is 1.857 eV/atom.

=====

[5]
## RbCr3Pt (PBE)

Data for RbCr3Pt after structural relaxation.

a b c (Å): 5.1483 5.1483 5.1483
angles (deg): 90.00 90.00 90.00
Closest atoms and distances in Å follow each position.
Space group Pm-3m (No. 221)
One atom of each set of equivalent atoms:
Rb 0.0000 0.0000 0.0000  12 Cr 3.64
Cr 0.0000 0.5000 0.5000  2 Pt 2.57
Pt 0.5000 0.5000 0.5000  6 Cr 2.57

Output
The calculation puts the formation energy at 1.001 eV/atom. Its energy above the most stable polymorph in this dataset is 0.000 eV/atom.

=====

[6]
## RbCr2TcPt (PBE)

Data for RbCr2TcPt after structural relaxation.

a b c (Å): 4.3424 4.3424 4.5808
angles (deg): 90.00 90.00 90.00
Closest atoms and distances in Å follow each position.
Space group P4/mmm (No. 123)
One atom of each set of equivalent atoms:
Rb 0.0000 0.0000 0.0000  4 Cr 2.17, 2 Tc 2.29
Cr 0.0000 0.5000 0.0000  2 Rb 2.17
Tc 0.0000 0.0000 0.5000  2 Rb 2.29
Pt 0.5000 0.5000 0.5000  4 Tc 3.07, 8 Cr 3.16

Output
The calculation puts the formation energy at 2.966 eV/atom.

=====

[7]
## CrRe2Pt (PBE)

Data for CrRe2Pt after structural relaxation.

a b c (Å): 6.1554 6.1554 6.1554
angles (deg): 90.00 90.00 90.00
Closest atoms and distances in Å follow each position.
Space group Fm-3m (No. 225)
One atom of each set of equivalent atoms:
Cr 0.0000 0.0000 0.0000  8 Re 2.67
Re 0.2500 0.2500 0.2500  4 Cr 2.67, 4 Pt 2.67
Pt 0.0000 0.0000 0.5000  8 Re 2.67

Output
The calculation puts the formation energy at 0.379 eV/atom. Its energy above the most stable polymorph in this dataset is 0.435 eV/atom.

=====

[8]
## Cr2RePt (PBE)

Data for Cr2RePt after structural relaxation.

a b c (Å): 2.8016 2.8016 6.8905
angles (deg): 90.00 90.00 90.00
Closest atoms and distances in Å follow each position.
Space group P4mm (No. 99)
One atom of each set of equivalent atoms:
Cr 0.0000 0.0000 0.0000  4 Cr 2.38, 4 Re 2.59
Cr 0.5000 0.5000 0.1903  4 Cr 2.38
Re 0.5000 0.5000 0.7581  4 Cr 2.59, 4 Re 2.80, 4 Pt 2.84
Pt 0.0000 0.0000 0.4630  4 Cr 2.73, 4 Pt 2.80, 4 Re 2.84

Output
The calculation puts the formation energy at 0.039 eV/atom.

=====

[9]
## CrRe2Pt (PBE)

Data for CrRe2Pt after structural relaxation.

a b c (Å): 6.1950 6.1950 6.1950
angles (deg): 90.00 90.00 90.00
Closest atoms and distances in Å follow each position.
Space group F-43m (No. 216)
One atom of each set of equivalent atoms:
Cr 0.0000 0.0000 0.0000  4 Re 2.68, 4 Pt 2.68
Re 0.0000 0.0000 0.5000  4 Re 2.68, 4 Pt 2.68
Re 0.2500 0.2500 0.7500  4 Cr 2.68, 4 Re 2.68
Pt 0.2500 0.2500 0.2500  4 Cr 2.68, 4 Re 2.68

Output
The calculation puts the formation energy at 0.241 eV/atom. Its energy above the most stable polymorph in this dataset is 0.297 eV/atom.

=====

[10]
## Cr2RePt (PBE)

Data for Cr2RePt after structural relaxation.

a b c (Å): 3.8442 3.8442 3.6487
angles (deg): 90.00 90.00 90.00
Closest atoms and distances in Å follow each position.
Space group P4/mmm (No. 123)
One atom of each set of equivalent atoms:
Cr 0.0000 0.5000 0.0000  4 Re 2.65, 4 Pt 2.65, 4 Cr 2.72
Re 0.0000 0.0000 0.5000  8 Cr 2.65, 4 Pt 2.72
Pt 0.5000 0.5000 0.5000  8 Cr 2.65, 4 Re 2.72

Output
The calculation puts the formation energy at -0.043 eV/atom.

=====

[11]
## Cr2RePt (PBE)

Data for Cr2RePt after structural relaxation.

a b c (Å): 2.7317 2.7317 25.6047
angles (deg): 90.00 90.00 120.00
Closest atoms and distances in Å follow each position.
Space group R3m (No. 160, hexagonal axes)
One atom of each set of equivalent atoms:
Cr 0.0000 0.0000 0.0000  3 Cr 2.43, 3 Pt 2.70
Cr 0.0000 0.0000 0.2609  3 Cr 2.43, 3 Re 2.63
Re 0.0000 0.0000 0.5121  3 Cr 2.63, 6 Re 2.73, 3 Pt 2.86
Pt 0.0000 0.0000 0.7522  3 Cr 2.70, 6 Pt 2.73, 3 Re 2.86

Output
The calculation puts the formation energy at 0.131 eV/atom.

=====

[12]
## CrRePt2 (PBE)

Data for CrRePt2 after structural relaxation.

a b c (Å): 4.7419 4.7419 2.7445
angles (deg): 90.00 90.00 90.00
Closest atoms and distances in Å follow each position.
Space group P4/mmm (No. 123)
One atom of each set of equivalent atoms:
Cr 0.0000 0.0000 0.0000  8 Pt 2.74, 2 Cr 2.74
Re 0.5000 0.5000 0.0000  8 Pt 2.74, 2 Re 2.74
Pt 0.0000 0.5000 0.5000  4 Cr 2.74, 4 Re 2.74, 2 Pt 2.74

Output
The calculation puts the formation energy at 0.095 eV/atom. Its energy above the most stable polymorph in this dataset is 0.203 eV/atom.